# 1
Density functional theory data (PBE-GGA) for crystalline Ca2Sn2O5 at its relaxed geometry.

Calculated values
Space-group type: Pbam, No. 55
VASP energy (eV per atom): -6.1468
Uncorrected formation energy (kcal/mol of atoms): -47.46

Structure (extended XYZ):
```
18
Lattice="4.1527 0.0000 0.0000 0.0000 5.5884 0.0000 0.0000 0.0000 10.6745" Properties=species:S:1:pos:R:3 pbc="T T T"
Ca 0.0000 0.7944 1.5769
Sn 2.0763 3.7230 1.1153
O 2.0763 0.8021 7.7175
O 0.0000 3.9965 1.3376
O 2.0763 1.9921 2.3802
Ca 0.0000 3.5886 3.7603
O 2.0763 3.5964 8.2943
Ca 0.0000 4.7940 9.0976
Sn 2.0763 0.9287 4.2220
O 0.0000 1.2023 3.9996
Sn 2.0763 4.6597 6.4525
Ca 0.0000 1.9998 6.9142
O 2.0763 2.7942 5.3373
Sn 2.0763 1.8655 9.5593
O 0.0000 1.5919 9.3369
O 2.0763 0.0000 0.0000
O 0.0000 4.3862 6.6749
O 2.0763 4.7863 2.9570
```

***

# 2
Density functional theory data (PBE-GGA) for crystalline CaSn2O5 at its relaxed geometry.

Calculated values
Space-group type: Pmmn, No. 59
VASP energy (eV per atom): -6.1964
Uncorrected formation energy (kcal/mol of atoms): -42.58

Structure (extended XYZ):
```
16
Lattice="-0.0819 -2.7557 2.5301 3.7227 2.3932 2.7270 -8.2400 5.8550 6.1104" Properties=species:S:1:pos:R:3 pbc="T T T"
O -0.4514 3.9343 7.0376
Sn -6.3173 5.3286 5.5993
O 0.0132 0.0085 0.0097
O -3.1567 5.8250 9.0094
Sn 0.2434 2.6186 5.6270
O 2.2073 2.0137 5.0317
Sn -0.6817 1.3242 1.4202
O -1.3719 1.9311 4.8260
O -3.4577 3.4132 6.3727
Sn -2.3610 4.4692 7.5584
O 0.9336 2.0117 2.2213
O -2.6455 1.9291 2.0155
O -5.2206 6.3846 6.7849
Ca -2.9653 3.6698 3.9011
O -5.5216 3.9727 4.1483
Ca 2.5270 0.2730 3.1462
```

***

# 3
Density functional theory data (PBE-GGA) for crystalline CaSn3O at its relaxed geometry.

Calculated values
Space-group type: Pm-3m, No. 221
VASP energy (eV per atom): -4.2978
D(E_F) (states/eV/f.u.): 1.078
Uncorrected formation energy (kcal/mol of atoms): -11.63

Structure (extended XYZ):
```
5
Lattice="-2.7934 3.5166 -1.9640 -1.7285 -3.2054 -3.2809 -3.6381 -1.1771 3.0668" Properties=species:S:1:pos:R:3 pbc="T T T"
Sn -1.8191 -0.5886 1.5334
Sn -1.3967 1.7583 -0.9820
Ca -4.0800 -0.4330 -1.0891
O 0.0000 0.0000 0.0000
Sn -0.8642 -1.6027 -1.6404
```

***

# 4
Density functional theory data (PBE-GGA) for crystalline CaSnO2 at its relaxed geometry.

Calculated values
Space-group type: C2/m, No. 12
VASP energy (eV per atom): -5.9717
D(E_F) (states/eV/f.u.): 0.595
Uncorrected formation energy (kcal/mol of atoms): -45.92

Structure (extended XYZ):
```
16
Lattice="3.2436 0.0414 -0.2823 1.5247 8.5113 -0.0265 0.8032 1.6183 9.4796" Properties=species:S:1:pos:R:3 pbc="T T T"
O 4.6871 8.7933 8.1815
Ca 4.1314 8.1828 1.7117
Sn 2.9227 4.7656 6.1151
Sn 2.4522 2.7603 0.4320
Ca 1.4401 1.9881 7.4591
O 2.4816 6.5389 1.2827
O 2.6321 3.3307 2.5842
Ca 4.4333 8.0181 5.1488
Ca 1.1383 2.1528 4.0220
Sn 3.1194 7.4106 8.7388
O 2.9395 6.8402 6.5866
O 2.6623 8.3840 3.6334
O 0.8845 1.3776 0.9893
O 2.9092 1.7870 5.5374
Sn 2.6488 5.4053 3.0557
O 3.0899 3.6320 7.8881
```

***

# 5
Density functional theory data (PBE-GGA) for crystalline CaSnO at its relaxed geometry.

Calculated values
Space-group type: C2/m, No. 12
VASP energy (eV per atom): -5.4485
D(E_F) (states/eV/f.u.): 0.502
Uncorrected formation energy (kcal/mol of atoms): -41.38

Structure (extended XYZ):
```
6
Lattice="-0.3379 -3.0307 -1.3317 3.1712 -0.6936 0.7316 -5.4603 -0.8040 10.1971" Properties=species:S:1:pos:R:3 pbc="T T T"
Sn -2.2401 -1.9461 6.0142
O -3.0080 -3.1864 8.7251
Sn -0.3869 -2.5822 3.5828
O 0.3810 -1.3418 0.8719
Ca 1.7755 -3.2371 0.6472
Ca -4.4024 -1.2912 8.9499
```

***

# 6
Density functional theory data (PBE-GGA) for crystalline CaSnO2 at its relaxed geometry.

Calculated values
Space-group type: R-3m, No. 166
VASP energy (eV per atom): -5.8578
D(E_F) (states/eV/f.u.): 0.006
Uncorrected formation energy (kcal/mol of atoms): -43.30

Structure (extended XYZ):
```
4
Lattice="4.2142 4.2482 3.2526 5.0811 1.1606 4.3843 6.2670 2.2714 1.3968" Properties=species:S:1:pos:R:3 pbc="T T T"
Sn 0.0000 0.0000 0.0000
O 1.6089 0.7940 0.9340
O 13.9534 6.8862 8.0997
Ca 7.7812 3.8401 4.5168
```

***

# 7
Density functional theory data (PBE-GGA) for crystalline CaSn4O9 at its relaxed geometry.

Calculated values
Space-group type: P4/n, No. 85
VASP energy (eV per atom): -6.1867
Uncorrected formation energy (kcal/mol of atoms): -39.49

Structure (extended XYZ):
```
28
Lattice="8.2729 0.0000 0.0000 0.0000 8.2729 0.0000 0.0000 0.0000 5.1921" Properties=species:S:1:pos:R:3 pbc="T T T"
O 3.2454 1.7222 2.3197
Ca 0.0000 4.1364 1.3653
Sn 0.8492 6.6571 3.7970
O 6.1430 3.7909 0.2699
O 5.8587 0.8911 2.3197
O 7.3818 5.8587 2.8724
Ca 4.1364 0.0000 3.8268
O 0.3455 2.0065 0.2699
O 5.0275 6.5506 2.3197
O 6.5506 3.2454 2.8724
Sn 4.9856 2.5207 1.3951
O 2.4142 7.3818 2.3197
O 3.7909 2.1299 4.9222
O 4.4820 6.1430 4.9222
Sn 7.4237 1.6158 3.7970
Sn 3.2872 5.7522 1.3951
Sn 6.6571 7.4237 1.3951
O 1.7222 5.0275 2.8724
O 6.2663 0.3455 4.9222
Sn 2.5207 3.2872 3.7970
O 2.1299 4.4820 0.2699
O 0.0000 0.0000 2.5961
O 0.8911 2.4142 2.8724
O 2.0065 7.9273 4.9222
O 7.9273 6.2663 0.2699
Sn 1.6158 0.8492 1.3951
Sn 5.7522 4.9856 3.7970
O 4.1364 4.1364 2.5961
```

***

# 8
Density functional theory data (PBE-GGA) for crystalline Ca2Sn3O8 at its relaxed geometry.

Calculated values
Space-group type: P6_3mc, No. 186
VASP energy (eV per atom): -6.3553
D(E_F) (states/eV/f.u.): 0.000
Uncorrected formation energy (kcal/mol of atoms): -47.79

Structure (extended XYZ):
```
26
Lattice="-2.4989 -0.3590 -5.9594 5.1875 -3.5450 1.5528 -6.3112 -7.8686 3.1203" Properties=species:S:1:pos:R:3 pbc="T T T"
O -5.3677 -6.6923 2.6538
O -6.4693 -7.0901 -0.3747
Sn -5.9428 -6.7496 -2.3991
O -0.9290 -1.8856 -1.2012
O -0.7244 -4.8289 -0.9168
O 1.5065 -6.3534 -0.2490
Sn 2.3748 -4.9549 1.0858
O -3.9554 -6.4313 -1.4685
O 1.7623 -3.5590 -0.5246
O 0.3503 -4.6745 1.6461
Ca -2.5490 -4.6779 -2.1638
Sn 1.1070 -5.1371 -1.9379
O -5.3130 -8.7690 -2.2698
O -0.1703 -8.1607 2.3730
O -2.2121 -2.7580 1.0937
O -4.2384 -8.6146 0.2930
Sn -3.3108 -8.5482 -1.6113
O -2.2160 -2.0705 -4.2706
O -1.4573 -8.3456 -0.6963
Sn -0.2572 -3.1563 0.2980
Sn -4.6749 -6.5674 0.6246
O -2.8421 -6.3349 1.5733
Ca -3.1425 -9.6742 1.9004
Ca -0.1299 -1.6618 -3.3599
O 0.4558 -3.8963 -3.4708
Ca -0.7234 -6.6581 0.7044
```

***

# 9
Density functional theory data (PBE-GGA) for crystalline CaSn5O7 at its relaxed geometry.

Calculated values
Space-group type: Cmcm, No. 63
VASP energy (eV per atom): -5.8171
D(E_F) (states/eV/f.u.): 2.217
Uncorrected formation energy (kcal/mol of atoms): -33.53

Structure (extended XYZ):
```
26
Lattice="1.6118 -5.3417 0.0000 1.6118 5.3417 0.0000 0.0000 0.0000 23.6014" Properties=species:S:1:pos:R:3 pbc="T T T"
O 1.6118 4.5888 3.6423
O 1.6118 4.5888 8.1584
O 1.6118 -3.3220 7.4481
O 1.6118 0.2249 17.7010
O 1.6118 3.3220 16.1533
Sn 1.6118 0.5598 7.8186
Sn 1.6118 -0.5598 15.7827
Sn 0.0000 0.0000 11.8007
Sn 1.6118 -2.3881 9.7061
O 1.6118 -1.3622 13.8514
Sn 1.6118 -2.3881 2.0946
O 1.6118 -3.3220 4.3526
O 1.6118 -0.2249 5.9003
O 1.6118 1.3622 9.7500
Sn 1.6118 2.3881 13.8953
O 1.6118 1.3622 2.0507
Sn 1.6118 -0.5598 19.6193
Ca 1.6118 3.4070 5.9003
Sn 0.0000 0.0000 0.0000
Sn 1.6118 0.5598 3.9820
O 1.6118 -1.3622 21.5507
Sn 1.6118 2.3881 21.5068
O 1.6118 3.3220 19.2488
O 1.6118 -4.5888 15.4429
O 1.6118 -4.5888 19.9591
Ca 1.6118 -3.4070 17.7010
```

***

# 10
Density functional theory data (PBE-GGA) for crystalline CaSn2O5 at its relaxed geometry.

Calculated values
Space-group type: Cmcm, No. 63
VASP energy (eV per atom): -6.3163
Uncorrected formation energy (kcal/mol of atoms): -45.35

Structure (extended XYZ):
```
16
Lattice="2.0025 -5.4648 0.0000 2.0025 5.4648 0.0000 0.0000 0.0000 10.8388" Properties=species:S:1:pos:R:3 pbc="T T T"
O 2.0025 -4.9526 1.1870
O 2.0025 -2.1260 4.8442
O 2.0025 2.1260 5.9946
O 2.0025 -3.2902 8.1291
Sn 2.0025 -4.0219 6.0999
O 2.0025 4.9526 6.6064
O 2.0025 -2.1260 0.5752
Sn 2.0025 4.0219 0.6805
Ca 2.0025 3.3576 8.1291
Sn 2.0025 4.0219 4.7389
Sn 2.0025 -4.0219 10.1583
O 2.0025 -4.9526 4.2324
O 2.0025 3.2902 2.7097
O 2.0025 4.9526 9.6517
O 2.0025 2.1260 10.2636
Ca 2.0025 -3.3576 2.7097
```